(1)
A geometry-optimized Pm4Sm2Tm3 structure. Source: Alexandria via LeMat-Bulk, functional PBE-GGA.

Geometry as POSCAR:
```
Pm4Sm2Tm3
1.0
5.8109 1.7532 1.2553
2.1855 11.0859 0.7112
2.1855 4.2453 10.2655
Pm Sm Tm
8 4 6
Cartesian
2.4549 9.5275 1.6346 Pm
4.8216 11.5905 3.1116 Pm
8.4577 13.5323 7.6449 Pm
1.7242 3.5521 4.5871 Pm
5.5523 10.7208 9.7197 Pm
5.3603 5.4939 9.1204 Pm
7.7270 7.5569 10.5974 Pm
4.6296 6.3636 2.5123 Pm
3.1855 8.6644 8.2309 Sm
6.0910 11.4603 6.1778 Sm
4.0910 5.6241 6.0541 Sm
6.9964 8.4200 4.0011 Sm
3.6383 8.7906 4.8431 Tm
5.1038 13.9001 8.5006 Tm
6.5437 8.2938 7.3889 Tm
5.0781 3.1843 3.7314 Tm
2.1727 3.6818 1.1846 Tm
8.0092 13.4027 11.0474 Tm
```

Output
- Formation energy: 85.2 meV per atom



(2)
A geometry-optimized Pm2Sm2Tm7 structure. Source: Alexandria via LeMat-Bulk, functional PBE-GGA.

Geometry as POSCAR:
```
Pm2Sm2Tm7
1.0
7.3876 2.7065 1.6220
3.9415 9.0540 -3.0087
-0.3833 -2.7065 7.5538
Sm Tm Pm
2 7 2
Cartesian
2.0338 0.0000 2.6644 Sm
4.9704 0.0000 6.5115 Sm
6.6462 2.9454 5.9965 Tm
5.0152 1.5377 3.4329 Tm
5.9305 7.5163 2.7343 Tm
2.9724 2.9454 1.1837 Tm
4.2995 6.1087 0.1707 Tm
7.9733 6.1087 4.9835 Tm
1.9707 4.5270 -1.5043 Tm
3.9888 4.6933 4.2165 Pm
6.9569 4.3607 1.9508 Pm
```

Output
- Formation energy: 154.5 meV per atom



(3)
A geometry-optimized PmSm7Tm12 structure. Source: Alexandria via LeMat-Bulk, functional PBE-GGA.

Geometry as POSCAR:
```
PmSm7Tm12
1.0
8.5537 0.7391 1.1094
-1.6685 8.4219 1.1094
-1.6685 -2.2200 8.1994
Tm Sm Pm
12 7 1
Cartesian
5.4571 4.3910 5.8282 Tm
2.5163 4.0517 2.2092 Tm
1.1617 0.1505 6.6907 Tm
5.5523 2.8166 2.7158 Tm
-0.2404 2.5500 4.5900 Tm
3.1923 0.6738 4.1212 Tm
2.7004 2.8893 8.2090 Tm
5.3952 1.2124 6.7728 Tm
2.0245 6.2672 6.2970 Tm
4.0551 6.7906 3.7275 Tm
-0.1785 5.7286 3.6453 Tm
-0.3356 4.1244 7.7024 Tm
-0.5681 -0.0585 3.0292 Sm
0.1017 3.0119 0.6481 Sm
2.6084 3.4705 5.2091 Sm
2.8649 0.2379 1.1127 Sm
5.7848 6.9996 7.3890 Sm
5.1150 3.9291 9.7700 Sm
2.3519 6.7031 9.3055 Sm
0.0000 0.0000 0.0000 Pm
```

Output
- Formation energy: 299.6 meV per atom